Compound: TbBW
Source: the Alexandria database
Functional: PBE
Structure: optimized geometry

## Properties
Its symmetry is P2_1/m (11). The value obtained for the formation enthalpy at 0 K is 0.1009 eV/atom. The calculation puts the total magnetization at 0.000 μB per atom.

Unit cell a=5.156 b=6.407 c=3.324 alpha=73.80 beta=90.00 gamma=90.00
Atoms (fractional coordinates):
Tb 0.750 0.162 0.183
Tb 0.250 0.838 0.817
W 0.750 0.604 0.483
W 0.250 0.396 0.517
B 0.250 0.184 0.122
B 0.750 0.816 0.878

=====

Compound: TbB2W
Source: the Alexandria database
Functional: PBE
Structure: optimized geometry

## Properties
Its symmetry is R-3m (166). The value obtained for the formation enthalpy at 0 K is -0.0744 eV/atom. The calculation puts the total magnetization at 0.000 μB per atom.

Unit cell a=3.368 b=3.368 c=6.088 alpha=73.94 beta=73.94 gamma=60.00
Atoms (fractional coordinates):
B 0.266 0.266 0.201
B 0.734 0.734 0.799
Tb 0.500 0.500 0.500
W 0.000 0.000 0.000

=====

Compound: Tb3B7W
Source: the Alexandria database
Functional: PBE
Structure: optimized geometry

## Properties
Its symmetry is Cmcm (63). The value obtained for the formation enthalpy at 0 K is -0.5653 eV/atom. The calculation puts the total magnetization at 0.000 μB per atom.

Unit cell a=8.232 b=8.232 c=9.517 alpha=90.00 beta=90.00 gamma=155.60
Atoms (fractional coordinates):
Tb 0.107 0.893 0.939
Tb 0.244 0.756 0.250
Tb 0.893 0.107 0.061
Tb 0.756 0.244 0.750
Tb 0.107 0.893 0.561
Tb 0.893 0.107 0.439
B 0.520 0.480 0.092
B 0.480 0.520 0.908
B 0.365 0.635 0.648
B 0.458 0.542 0.250
B 0.635 0.365 0.148
B 0.727 0.273 0.032
B 0.542 0.458 0.750
B 0.520 0.480 0.408
B 0.635 0.365 0.352
B 0.727 0.273 0.468
B 0.365 0.635 0.852
B 0.273 0.727 0.968
B 0.273 0.727 0.532
B 0.480 0.520 0.592
W 0.946 0.054 0.750
W 0.054 0.946 0.250

=====

Compound: TbB3W
Source: the Alexandria database
Functional: PBE
Structure: optimized geometry

## Properties
Its symmetry is Cmcm (63). The value obtained for the formation enthalpy at 0 K is -0.3998 eV/atom. The calculation puts the total magnetization at 0.000 μB per atom.

Unit cell a=3.345 b=3.129 c=11.446 alpha=90.00 beta=98.40 gamma=90.00
Atoms (fractional coordinates):
W 0.211 0.750 0.421
W 0.789 0.250 0.579
Tb 0.918 0.750 0.836
Tb 0.082 0.250 0.164
B 0.490 0.250 0.980
B 0.643 0.750 0.285
B 0.679 0.250 0.357
B 0.510 0.750 0.020
B 0.357 0.250 0.715
B 0.321 0.750 0.643

=====

Compound: TbYB
Source: the Alexandria database
Functional: PBE
Structure: optimized geometry

## Properties
Its symmetry is Pnma (62). The value obtained for the formation enthalpy at 0 K is -0.1389 eV/atom. The calculation puts the total magnetization at 0.000 μB per atom.

Unit cell a=3.230 b=7.964 c=10.983 alpha=90.00 beta=90.00 gamma=90.00
Atoms (fractional coordinates):
Tb 0.250 0.198 0.989
Tb 0.750 0.698 0.511
Tb 0.250 0.302 0.489
Tb 0.750 0.802 0.011
Y 0.750 0.008 0.719
Y 0.250 0.508 0.781
Y 0.750 0.492 0.219
Y 0.250 0.992 0.281
B 0.250 0.977 0.521
B 0.250 0.523 0.021
B 0.750 0.477 0.979
B 0.750 0.023 0.479

=====

Compound: TbY2B6
Source: the Alexandria database
Functional: PBE
Structure: optimized geometry

## Properties
Its symmetry is P6/mmm (191). The value obtained for the formation enthalpy at 0 K is -0.5554 eV/atom. The calculation puts the total magnetization at 0.000 μB per atom.

Unit cell a=3.893 b=5.707 c=5.707 alpha=120.00 beta=90.00 gamma=90.00
Atoms (fractional coordinates):
Y 0.000 0.667 0.333
Y 0.000 0.333 0.667
B 0.500 0.666 0.666
B 0.500 0.000 0.666
B 0.500 0.334 0.000
B 0.500 0.666 0.000
B 0.500 0.000 0.334
B 0.500 0.334 0.334
Tb 0.000 0.000 0.000

=====

Compound: TbYB12
Source: the Alexandria database
Functional: PBE
Structure: optimized geometry

## Properties
Its symmetry is P4/mmm (123). The value obtained for the formation enthalpy at 0 K is -0.4077 eV/atom. The calculation puts the total magnetization at 0.000 μB per atom.

Unit cell a=4.100 b=4.100 c=8.204 alpha=90.00 beta=90.00 gamma=90.00
Atoms (fractional coordinates):
B 0.199 0.500 0.750
B 0.500 0.801 0.750
B 0.500 0.500 0.599
B 0.500 0.500 0.901
B 0.500 0.801 0.250
B 0.500 0.199 0.250
B 0.199 0.500 0.250
B 0.500 0.500 0.401
B 0.801 0.500 0.750
B 0.500 0.500 0.099
B 0.801 0.500 0.250
B 0.500 0.199 0.750
Tb 0.000 0.000 0.000
Y 0.000 0.000 0.500

=====

Compound: TbZnB
Source: the Alexandria database
Functional: PBE
Structure: optimized geometry

## Properties
Its symmetry is C2/m (12). The value obtained for the formation enthalpy at 0 K is -0.2260 eV/atom. The calculation puts the total magnetization at 0.000 μB per atom.

Unit cell a=3.903 b=4.691 c=6.637 alpha=101.74 beta=90.00 gamma=114.58
Atoms (fractional coordinates):
Tb 0.898 0.797 0.200
Tb 0.102 0.203 0.800
Zn 0.645 0.290 0.435
Zn 0.355 0.710 0.565
B 0.581 0.161 0.084
B 0.419 0.839 0.916

=====

Compound: Tb2ZnB
Source: the Alexandria database
Functional: PBE
Structure: optimized geometry

## Properties
Its symmetry is R-3m (166). The value obtained for the formation enthalpy at 0 K is 0.2301 eV/atom. The calculation puts the total magnetization at 0.000 μB per atom.

Unit cell a=3.818 b=3.818 c=9.225 alpha=78.06 beta=78.06 gamma=60.00
Atoms (fractional coordinates):
Tb 0.883 0.883 0.351
Tb 0.117 0.117 0.649
Zn 0.000 0.000 0.000
B 0.500 0.500 0.500

=====

Compound: TbZr2B6
Source: the Alexandria database
Functional: PBE
Structure: optimized geometry

## Properties
Its symmetry is P6/mmm (191). The value obtained for the formation enthalpy at 0 K is -0.8266 eV/atom. The calculation puts the total magnetization at 0.000 μB per atom.

Unit cell a=3.661 b=5.577 c=5.577 alpha=120.00 beta=90.00 gamma=90.00
Atoms (fractional coordinates):
B 0.500 0.338 0.338
B 0.500 0.338 0.000
B 0.500 0.000 0.338
B 0.500 0.662 0.000
B 0.500 0.662 0.662
B 0.500 0.000 0.662
Tb 0.000 0.000 0.000
Zr 0.000 0.333 0.667
Zr 0.000 0.667 0.333

=====

Compound: TcB
Source: the Alexandria database
Functional: PBE
Structure: optimized geometry

## Properties
Its symmetry is Pmmn (59). The value obtained for the formation enthalpy at 0 K is -0.0265 eV/atom. The calculation puts the energy above the most stable polymorph in this dataset at 0.51 eV/f.u. The calculation puts the total magnetization at 0.000 μB per atom.

Unit cell a=4.278 b=2.969 c=10.297 alpha=90.00 beta=90.00 gamma=90.00
Atoms (fractional coordinates):
B 0.500 0.329 0.500
B 0.000 0.740 0.674
B 0.500 0.260 0.826
B 0.500 0.260 0.174
B 0.000 0.740 0.326
B 0.000 0.671 0.000
Tc 0.500 0.866 0.346
Tc 0.000 0.134 0.154
Tc 0.500 0.635 0.000
Tc 0.000 0.365 0.500
Tc 0.000 0.134 0.846
Tc 0.500 0.866 0.654

=====

Compound: Tc3B
Source: the Alexandria database
Functional: PBE
Structure: optimized geometry

## Properties
Its symmetry is P4_2/n (86). The value obtained for the formation enthalpy at 0 K is -0.2043 eV/atom. The calculation puts the energy above the most stable polymorph in this dataset at 0.23 eV/f.u. The calculation puts the total magnetization at 0.000 μB per atom.

Unit cell a=4.554 b=9.334 c=9.334 alpha=90.00 beta=90.00 gamma=90.00
Atoms (fractional coordinates):
B 0.756 0.790 0.954
B 0.756 0.210 0.046
B 0.744 0.710 0.546
B 0.256 0.546 0.290
B 0.244 0.046 0.790
B 0.244 0.954 0.210
B 0.744 0.290 0.454
B 0.256 0.454 0.710
Tc 0.261 0.137 0.029
Tc 0.239 0.637 0.529
Tc 0.997 0.112 0.578
Tc 0.003 0.422 0.112
Tc 0.239 0.363 0.471
Tc 0.503 0.612 0.078
Tc 0.003 0.578 0.888
Tc 0.494 0.331 0.224
Tc 0.506 0.224 0.669
Tc 0.994 0.724 0.169
Tc 0.994 0.276 0.831
Tc 0.739 0.029 0.863
Tc 0.761 0.471 0.637
Tc 0.761 0.529 0.363
Tc 0.494 0.669 0.776
Tc 0.503 0.388 0.922
Tc 0.006 0.831 0.724
Tc 0.497 0.078 0.388
Tc 0.497 0.922 0.612
Tc 0.506 0.776 0.331
Tc 0.006 0.169 0.276
Tc 0.261 0.863 0.971
Tc 0.997 0.888 0.422
Tc 0.739 0.971 0.137